Material: CaLa4Pm2Pr2
Method: DFT, PBE
State: relaxed

Properties
- energy (eV for the cell shown) = -81.0
- energy relative to the elements (eV per atom) = 0.030
- magnetization (μB per formula unit) = 0.0

abc: 15.8789 5.2777 8.3286
angles: 90.00 108.87 90.00
Space group C2/m (No. 12)
Symmetry-distinct sites (fractional):
1 Ca 0.0000 0.0000 0.0000 (multiplicity 2)
2 La 0.0558 0.5000 0.3443 (multiplicity 4)
3 La 0.2257 0.0000 0.3370 (multiplicity 4)
4 Pm 0.1130 0.0000 0.6633 (multiplicity 4)
5 Pr 0.1711 0.5000 0.9978 (multiplicity 4)